## TeAu3F (PBE)

Data for a relaxed TeAu3F crystal.

Results
SG = Pm-3m, No. 221
Formation energy (no corrections) = 1.03 eV/f.u.
Polymorph energy (0 for the lowest one) = 0.0 meV/atom
D(E_F) = 0.00 states/eV per cell
Uncorrected energy = -2.7628 eV/atom

```
TeAu3F
1.0
5.2088 0.0000 0.0000
0.0000 5.2088 0.0000
0.0000 0.0000 5.2088
Te Au F
1 3 1
direct
0.0000 0.0000 0.0000
0.0000 0.0000 0.5000
0.0000 0.5000 0.0000
0.5000 0.0000 0.0000
0.5000 0.5000 0.5000
```

## AcAgPbO3 (PBE)

Data for a relaxed AcAgPbO3 crystal.

Results
SG = P2_1/m, No. 11
Formation energy (no corrections) = -9.92 eV/f.u.
Uncorrected energy = -5.9098 eV/atom

```
AcAgPbO3
1.0
7.7286 0.0000 0.0000
0.0000 3.5437 0.0000
-3.2207 0.0000 8.1110
Ac Ag Pb O
2 2 2 6
direct
0.0505 0.2500 0.2252
0.9495 0.7500 0.7748
0.3652 0.2500 0.0346
0.6348 0.7500 0.9654
0.3875 0.2500 0.6499
0.6125 0.7500 0.3501
0.1706 0.7500 0.0809
0.1720 0.2500 0.7620
0.2551 0.7500 0.4674
0.7449 0.2500 0.5326
0.8280 0.7500 0.2380
0.8294 0.2500 0.9191
```

## Pm3GaS6 (PBE)

Data for a relaxed Pm3GaS6 crystal.

Results
SG = Cmc2_1, No. 36
Formation energy (no corrections) = -17.40 eV/f.u.
D(E_F) = 0.00 states/eV per cell
Uncorrected energy = -5.9443 eV/atom

```
Pm3GaS6
1.0
5.4802 -6.8159 0.0000
5.4802 6.8159 0.0000
0.0000 0.0000 6.6145
Pm Ga S
6 2 12
direct
0.1003 0.8997 0.5000
0.2153 0.4151 0.5856
0.4151 0.2153 0.0856
0.5849 0.7847 0.5856
0.7847 0.5849 0.0856
0.8997 0.1003 0.0000
0.3013 0.6987 0.1242
0.6987 0.3013 0.6242
0.0725 0.6001 0.2960
0.1352 0.1879 0.2928
0.1879 0.1352 0.7928
0.2828 0.7172 0.7800
0.3999 0.9275 0.2960
0.4594 0.5406 0.2640
0.5406 0.4594 0.7640
0.6001 0.0725 0.7960
0.7172 0.2828 0.2800
0.8121 0.8648 0.2928
0.8648 0.8121 0.7928
0.9275 0.3999 0.7960
```

## KFe2Se (PBE)

Data for a relaxed KFe2Se crystal.

Results
SG = Pm, No. 6
Formation energy (no corrections) = 0.50 eV/f.u.
D(E_F) = 2.99 states/eV per cell
Uncorrected energy = -5.2517 eV/atom

```
KFe2Se
1.0
3.3368 0.0000 0.0000
0.0000 3.8035 0.0000
-0.1665 0.0000 6.9639
K Fe Se
1 2 1
direct
0.0000 0.0000 0.0000
0.4744 0.0000 0.4626
0.9714 0.5000 0.4396
0.4844 0.5000 0.6985
```

## Rb3TbHo3Se8 (PBE)

Data for a relaxed Rb3TbHo3Se8 crystal.

Results
SG = R-3m, No. 166
Formation energy (no corrections) = -25.02 eV/f.u.
D(E_F) = 8.96 states/eV per cell
Uncorrected energy = -4.9439 eV/atom

```
Rb3TbHo3Se8
1.0
4.1592 2.4013 8.1804
-4.1592 2.4013 8.1804
0.0000 -4.8026 8.1804
Rb Tb Ho Se
3 1 3 8
direct
0.0000 0.5000 0.5000
0.5000 0.0000 0.5000
0.5000 0.5000 0.0000
0.5000 0.5000 0.5000
0.0000 0.0000 0.5000
0.0000 0.5000 0.0000
0.5000 0.0000 0.0000
0.2280 0.7328 0.7328
0.2316 0.2316 0.2316
0.2672 0.2672 0.7720
0.2672 0.7720 0.2672
0.7328 0.2280 0.7328
0.7328 0.7328 0.2280
0.7684 0.7684 0.7684
0.7720 0.2672 0.2672
```

## TaCr2HRu (PBE)

Data for a relaxed TaCr2HRu crystal.

Results
SG = P4/mmm, No. 123
Polymorph energy (0 for the lowest one) = 0.0 meV/atom
D(E_F) = 5.04 states/eV per cell
Uncorrected energy = -8.6741 eV/atom

```
TaCr2HRu
1.0
3.7264 0.0000 0.0000
0.0000 3.7264 0.0000
0.0000 0.0000 4.2390
Ta Cr H Ru
1 2 1 1
direct
0.0000 0.0000 0.0000
0.0000 0.5000 0.5000
0.5000 0.0000 0.5000
0.0000 0.0000 0.5000
0.5000 0.5000 0.0000
```

## DyEr2Bi (PBE)

Data for a relaxed DyEr2Bi crystal.

Results
SG = Cmcm, No. 63
E_form = -370 meV per atom
Polymorph energy (0 for the lowest one) = 0.0 meV/atom
D(E_F) = 11.96 states/eV per cell
Uncorrected energy = -4.7720 eV/atom

```
DyEr2Bi
1.0
2.0591 -6.1940 0.0000
2.0591 6.1940 0.0000
0.0000 0.0000 9.5696
Dy Er Bi
2 4 2
direct
0.0544 0.9456 0.7500
0.9456 0.0544 0.2500
0.3675 0.6325 0.5454
0.3675 0.6325 0.9546
0.6325 0.3675 0.0454
0.6325 0.3675 0.4546
0.2421 0.7579 0.2500
0.7579 0.2421 0.7500
```

## Li4CdHg3 (PBE)

Data for a relaxed Li4CdHg3 crystal.

Results
SG = I4/mmm, No. 139
E_form = -343 meV per atom
D(E_F) = 1.72 states/eV per cell
Uncorrected energy = -1.5271 eV/atom

```
Li4CdHg3
1.0
-2.3400 2.3400 6.7237
2.3400 -2.3400 6.7237
2.3400 2.3400 -6.7237
Li Cd Hg
4 1 3
direct
0.1269 0.6269 0.5000
0.3731 0.8731 0.5000
0.6269 0.1269 0.5000
0.8731 0.3731 0.5000
0.0000 0.0000 0.0000
0.2465 0.2465 0.0000
0.5000 0.5000 0.0000
0.7535 0.7535 0.0000
```

## TlVI2 (PBE)

Data for a relaxed TlVI2 crystal.

Results
SG = I-42d, No. 122
Formation energy (no corrections) = -0.30 eV/f.u.
Polymorph energy (0 for the lowest one) = 109.2 meV/atom
D(E_F) = 4.66 states/eV per cell
Uncorrected energy = -3.7208 eV/atom

```
TlVI2
1.0
-4.3768 4.3768 3.6507
4.3768 -4.3768 3.6507
4.3768 4.3768 -3.6507
Tl V I
2 2 4
direct
0.0000 0.0000 0.0000
0.7500 0.2500 0.5000
0.2500 0.7500 0.5000
0.5000 0.5000 0.0000
0.2104 0.1250 0.5854
0.3750 0.7896 0.9146
0.5396 0.6250 0.4146
0.8750 0.4604 0.0854
```

## Nd2TmZr (PBE)

Data for a relaxed Nd2TmZr crystal.

Results
SG = Fm-3m, No. 225
E_form = 209 meV per atom
Polymorph energy (0 for the lowest one) = 88.0 meV/atom
D(E_F) = 6.83 states/eV per cell
Uncorrected energy = -5.4296 eV/atom

```
Nd2TmZr
1.0
0.0000 3.9174 3.9174
3.9174 0.0000 3.9174
3.9174 3.9174 0.0000
Nd Tm Zr
2 1 1
direct
0.2500 0.2500 0.2500
0.7500 0.7500 0.7500
0.0000 0.0000 0.0000
0.5000 0.5000 0.5000
```

## AcDy3HoEr (PBE)

Data for a relaxed AcDy3HoEr crystal.

Results
SG = C2/m, No. 12
E_form = 227 meV per atom
D(E_F) = 20.17 states/eV per cell
Uncorrected energy = -4.2819 eV/atom

```
AcDy3HoEr
1.0
11.4881 -2.6855 0.0000
11.4881 2.6855 0.0000
-0.9887 0.0000 6.9144
Ac Dy Ho Er
2 6 2 2
direct
0.1267 0.1267 0.4834
0.8733 0.8733 0.5166
0.0211 0.0211 0.7836
0.2747 0.2747 0.6915
0.3187 0.3187 0.2160
0.6813 0.6813 0.7840
0.7253 0.7253 0.3085
0.9789 0.9789 0.2164
0.4249 0.4249 0.8918
0.5751 0.5751 0.1082
0.1673 0.1673 0.0227
0.8327 0.8327 0.9773
```

## Ta2AlGaOs (PBE)

Data for a relaxed Ta2AlGaOs crystal.

Results
SG = P4/mmm, No. 123
E_form = 1532 meV per atom
D(E_F) = 2.78 states/eV per cell
Uncorrected energy = -6.8093 eV/atom

```
Ta2AlGaOs
1.0
4.6996 0.0000 0.0000
0.0000 4.6996 0.0000
0.0000 0.0000 4.2854
Ta Al Ga Os
2 1 1 1
direct
0.0000 0.5000 0.0000
0.5000 0.0000 0.0000
0.0000 0.0000 0.0000
0.0000 0.0000 0.5000
0.5000 0.5000 0.5000
```

## BeRe2Se (PBE)

Data for a relaxed BeRe2Se crystal.

Results
SG = R-3m, No. 166
Formation energy (no corrections) = 2.07 eV/f.u.
Polymorph energy (0 for the lowest one) = 393.8 meV/atom
D(E_F) = 2.68 states/eV per cell
Uncorrected energy = -7.5083 eV/atom

```
BeRe2Se
1.0
1.5617 0.9017 6.6136
-1.5617 0.9017 6.6136
0.0000 -1.8033 6.6136
Be Re Se
1 2 1
direct
0.0000 0.0000 0.0000
0.2696 0.2696 0.2696
0.7304 0.7304 0.7304
0.5000 0.5000 0.5000
```

## CuAsPb2 (PBE)

Data for a relaxed CuAsPb2 crystal.

Results
SG = I-4m2, No. 119
E_form = 296 meV per atom
D(E_F) = 1.97 states/eV per cell
Uncorrected energy = -3.7442 eV/atom

```
CuAsPb2
1.0
-2.1856 2.1856 5.0630
2.1856 -2.1856 5.0630
2.1856 2.1856 -5.0630
Cu As Pb
1 1 2
direct
0.0000 0.0000 0.0000
0.7500 0.2500 0.5000
0.2500 0.7500 0.5000
0.5000 0.5000 0.0000
```

## EuEr2Hf (PBE)

Data for a relaxed EuEr2Hf crystal.

Results
SG = Fm-3m, No. 225
E_form = 340 meV per atom
Polymorph energy (0 for the lowest one) = 216.9 meV/atom
D(E_F) = 8.25 states/eV per cell
Uncorrected energy = -6.9986 eV/atom

```
EuEr2Hf
1.0
0.0000 3.8825 3.8825
3.8825 0.0000 3.8825
3.8825 3.8825 0.0000
Eu Er Hf
1 2 1
direct
0.0000 0.0000 0.0000
0.2500 0.2500 0.2500
0.7500 0.7500 0.7500
0.5000 0.5000 0.5000
```

## Ho3Al3Zn (PBE)

Data for a relaxed Ho3Al3Zn crystal.

Results
SG = C2/m, No. 12
E_form = -412 meV per atom
D(E_F) = 9.78 states/eV per cell
Uncorrected energy = -4.1595 eV/atom

```
Ho3Al3Zn
1.0
5.3881 -2.2250 0.0000
5.3881 2.2250 0.0000
-4.7488 0.0000 13.4288
Ho Al Zn
6 6 2
direct
0.0388 0.0388 0.3826
0.0999 0.0999 0.9195
0.2431 0.2431 0.2213
0.7569 0.7569 0.7787
0.9001 0.9001 0.0805
0.9612 0.9612 0.6174
0.3679 0.3679 0.4550
0.3890 0.3890 0.9260
0.4619 0.4619 0.7652
0.5381 0.5381 0.2348
0.6110 0.6110 0.0740
0.6321 0.6321 0.5450
0.2521 0.2521 0.6074
0.7479 0.7479 0.3926
```

## Mg2Al2Bi (PBE)

Data for a relaxed Mg2Al2Bi crystal.

Results
SG = I4/mmm, No. 139
E_form = 155 meV per atom
Polymorph energy (0 for the lowest one) = 93.3 meV/atom
D(E_F) = 1.35 states/eV per cell
Uncorrected energy = -2.7558 eV/atom

```
Mg2Al2Bi
1.0
-2.1914 2.1914 6.2087
2.1914 -2.1914 6.2087
2.1914 2.1914 -6.2087
Mg Al Bi
2 2 1
direct
0.2500 0.7500 0.5000
0.7500 0.2500 0.5000
0.1009 0.1009 0.0000
0.8991 0.8991 0.0000
0.5000 0.5000 0.0000
```

## PmGdZn (PBE)

Data for a relaxed PmGdZn crystal.

Results
SG = I4mm, No. 107
E_form = -214 meV per atom
Polymorph energy (0 for the lowest one) = 0.0 meV/atom
D(E_F) = 3.10 states/eV per cell
Uncorrected energy = -6.9161 eV/atom

```
PmGdZn
1.0
-1.8238 1.8238 6.1580
1.8238 -1.8238 6.1580
1.8238 1.8238 -6.1580
Pm Gd Zn
1 1 1
direct
0.0000 0.0000 0.0000
0.7098 0.7098 0.0000
0.3514 0.3514 0.0000
```

## LiCo2Cu (PBE)

Data for a relaxed LiCo2Cu crystal.

Results
SG = P2/m, No. 10
E_form = 108 meV per atom
D(E_F) = 3.00 states/eV per cell
Uncorrected energy = -4.9472 eV/atom

```
LiCo2Cu
1.0
4.3053 0.0000 0.0000
0.0000 2.4583 0.0000
-1.4532 0.0000 4.2655
Li Co Cu
1 2 1
direct
0.0000 0.0000 0.0000
0.0000 0.5000 0.5000
0.5000 0.0000 0.5000
0.5000 0.5000 0.0000
```

## ScTc3Te (PBE)

Data for a relaxed ScTc3Te crystal.

Results
SG = Pm-3m, No. 221
Formation energy (no corrections) = 6.16 eV/f.u.
Polymorph energy (0 for the lowest one) = 0.0 meV/atom
D(E_F) = 5.39 states/eV per cell
Uncorrected energy = -6.8828 eV/atom

```
ScTc3Te
1.0
4.8037 0.0000 0.0000
0.0000 4.8037 0.0000
0.0000 0.0000 4.8037
Sc Tc Te
1 3 1
direct
0.0000 0.0000 0.0000
0.0000 0.5000 0.5000
0.5000 0.0000 0.5000
0.5000 0.5000 0.0000
0.5000 0.5000 0.5000
```

## Zr2CrSe (PBE)

Data for a relaxed Zr2CrSe crystal.

Results
SG = R-3m, No. 166
Formation energy (no corrections) = -1.17 eV/f.u.
D(E_F) = 2.36 states/eV per cell
Uncorrected energy = -7.8440 eV/atom

```
Zr2CrSe
1.0
1.7141 0.9896 7.6452
-1.7141 0.9896 7.6452
0.0000 -1.9793 7.6452
Zr Cr Se
2 1 1
direct
0.2479 0.2479 0.2479
0.7521 0.7521 0.7521
0.5000 0.5000 0.5000
0.0000 0.0000 0.0000
```

## CsCa3Ag4Cl12 (PBE)

Data for a relaxed CsCa3Ag4Cl12 crystal.

Results
SG = R32, No. 155
Formation energy (no corrections) = -28.52 eV/f.u.
D(E_F) = 16.00 states/eV per cell
Uncorrected energy = -3.4469 eV/atom

```
CsCa3Ag4Cl12
1.0
7.2720 4.1985 3.5933
-7.2720 4.1985 3.5933
0.0000 -8.3970 3.5933
Cs Ca Ag Cl
1 3 4 12
direct
0.0000 0.0000 0.0000
0.0000 0.5756 0.4244
0.4244 0.0000 0.5756
0.5756 0.4244 0.0000
0.0977 0.5000 0.9023
0.5000 0.5000 0.5000
0.5000 0.9023 0.0977
0.9023 0.0977 0.5000
0.0052 0.2649 0.3612
0.0876 0.9124 0.5000
0.2649 0.3612 0.0052
0.3285 0.6715 0.5000
0.3612 0.0052 0.2649
0.5000 0.0876 0.9124
0.5000 0.3285 0.6715
0.6388 0.7351 0.9948
0.6715 0.5000 0.3285
0.7351 0.9948 0.6388
0.9124 0.5000 0.0876
0.9948 0.6388 0.7351
```

## La2Pm2ErHg5 (PBE)

Data for a relaxed La2Pm2ErHg5 crystal.

Results
SG = P4/mbm, No. 127
E_form = -332 meV per atom
D(E_F) = 16.13 states/eV per cell
Uncorrected energy = -2.8752 eV/atom

```
La2Pm2ErHg5
1.0
11.1417 0.0000 0.0000
0.0000 11.1417 0.0000
0.0000 0.0000 4.5651
La Pm Er Hg
4 4 2 10
direct
0.1755 0.3245 0.0000
0.3245 0.8245 0.0000
0.6755 0.1755 0.0000
0.8245 0.6755 0.0000
0.1287 0.6287 0.0000
0.3713 0.1287 0.0000
0.6287 0.8713 0.0000
0.8713 0.3713 0.0000
0.0000 0.0000 0.0000
0.5000 0.5000 0.0000
0.0000 0.5000 0.5000
0.0795 0.8184 0.5000
0.1816 0.0795 0.5000
0.3184 0.5795 0.5000
0.4205 0.3184 0.5000
0.5000 0.0000 0.5000
0.5795 0.6816 0.5000
0.6816 0.4205 0.5000
0.8184 0.9205 0.5000
0.9205 0.1816 0.5000
```

## VAs2WBr (PBE)

Data for a relaxed VAs2WBr crystal.

Results
SG = P4/mmm, No. 123
Formation energy (no corrections) = 5.67 eV/f.u.
Polymorph energy (0 for the lowest one) = 265.1 meV/atom
D(E_F) = 3.81 states/eV per cell
Uncorrected energy = -5.4757 eV/atom

```
VAs2WBr
1.0
4.7664 0.0000 0.0000
0.0000 4.7664 0.0000
0.0000 0.0000 4.9382
V As W Br
1 2 1 1
direct
0.0000 0.0000 0.0000
0.0000 0.5000 0.0000
0.5000 0.0000 0.0000
0.5000 0.5000 0.5000
0.0000 0.0000 0.5000
```